Entry 1:
# Tb4Nd3Zn | Alexandria | PBE | relaxed
# Final energy in eV per atom: -4.336
# N(E_F) in states/eV/atom: 1.18
# Energy of formation from the pure elements in meV/atom: -74
data_Tb4Nd3Zn
_chemical_formula_sum 'Tb4 Nd3 Zn1'
_symmetry_space_group_name_H-M 'P 4/m m m'
_symmetry_Int_Tables_number 123
_symmetry_space_group_name_Hall '-P 4 2'
_cell_length_a 3.608
_cell_length_b 3.608
_cell_length_c 19.037
_cell_angle_alpha 90.00
_cell_angle_beta 90.00
_cell_angle_gamma 90.00
loop_
_atom_site_label
_atom_site_type_symbol
_atom_site_fract_x
_atom_site_fract_y
_atom_site_fract_z
Tb1 Tb 0.000 0.000 0.093
Tb2 Tb 0.000 0.000 0.365
Nd1 Nd 0.500 0.500 0.230
Nd2 Nd 0.500 0.500 0.500
Zn1 Zn 0.500 0.500 0.000

Entry 2:
# Tb5NdZn6 | Alexandria | PBE | relaxed
# Final energy in eV per atom: -3.293
# N(E_F) in states/eV/atom: 1.17
# Energy of formation from the pure elements in meV/atom: -330
data_Tb5NdZn6
_chemical_formula_sum 'Tb5 Nd1 Zn6'
_symmetry_space_group_name_H-M 'P 1 2/m 1'
_symmetry_Int_Tables_number 10
_symmetry_space_group_name_Hall '-P 2y'
_cell_length_a 5.079
_cell_length_b 7.216
_cell_length_c 8.040
_cell_angle_alpha 90.00
_cell_angle_beta 108.32
_cell_angle_gamma 90.00
loop_
_atom_site_label
_atom_site_type_symbol
_atom_site_fract_x
_atom_site_fract_y
_atom_site_fract_z
Tb1 Tb 0.000 0.000 0.000
Tb2 Tb 0.332 0.500 0.664
Tb3 Tb 0.335 0.000 0.669
Nd1 Nd 0.000 0.500 0.000
Zn1 Zn 0.169 0.245 0.339
Zn2 Zn 0.500 0.244 0.000

Repeat the first record exactly.
# Tb4Nd3Zn | Alexandria | PBE | relaxed
# Final energy in eV per atom: -4.336
# N(E_F) in states/eV/atom: 1.18
# Energy of formation from the pure elements in meV/atom: -74
data_Tb4Nd3Zn
_chemical_formula_sum 'Tb4 Nd3 Zn1'
_symmetry_space_group_name_H-M 'P 4/m m m'
_symmetry_Int_Tables_number 123
_symmetry_space_group_name_Hall '-P 4 2'
_cell_length_a 3.608
_cell_length_b 3.608
_cell_length_c 19.037
_cell_angle_alpha 90.00
_cell_angle_beta 90.00
_cell_angle_gamma 90.00
loop_
_atom_site_label
_atom_site_type_symbol
_atom_site_fract_x
_atom_site_fract_y
_atom_site_fract_z
Tb1 Tb 0.000 0.000 0.093
Tb2 Tb 0.000 0.000 0.365
Nd1 Nd 0.500 0.500 0.230
Nd2 Nd 0.500 0.500 0.500
Zn1 Zn 0.500 0.500 0.000

The highest energy of formation from the pure elements belongs to which entry?
Tb4Nd3Zn

N(E_F) of number 2 (Tb5NdZn6)?
1.17 states/eV/atom

What is the formula in the second record?
Tb5NdZn6